First-principles (GGA-PBE) data for a relaxed structure of CuNi2Os, as listed in Alexandria via LeMat-Bulk.

The offset from the most stable computed form is 108 meV/atom. The volume is 48.6 Å³/cell.

The structure belongs to space group P4mm (No. 99); the cell edges are 2.606, 2.606 and 7.153 Å and the angles 90.00°, 90.00° and 90.00°. Symmetry generates all atoms from Cu at (0.000, 0.000, 0.000), Ni at (0.000, 0.000, 0.479), Ni at (0.500, 0.500, 0.243) and Os at (0.500, 0.500, 0.726).